A relaxed BaSb4Se crystal. Source: Alexandria, functional PBE-GGA.

abc: 6.405 6.405 6.405
angles: 60.00 60.00 60.00
Positions (direct):
Ba  0.000  0.000  0.000
Sb  0.152  0.616  0.616
Sb  0.616  0.152  0.616
Sb  0.616  0.616  0.152
Sb  0.616  0.616  0.616
Se  0.250  0.250  0.250

Values from the calculation:
space-group type = F-43m (216)
raw total energy = -3.907 eV per atom
total moment = 0.000 μB per formula unit

=====

A relaxed ZrTcS2 crystal. Source: Alexandria, functional PBE-GGA.

abc: 3.223 3.223 24.453
angles: 90.00 90.00 120.00
Positions (direct):
Zr  0.000  0.000  0.000
Zr  0.333  0.667  0.667
Zr  0.667  0.333  0.333
Tc  0.000  0.000  0.500
Tc  0.333  0.667  0.167
Tc  0.667  0.333  0.833
S  0.000  0.000  0.406
S  0.000  0.000  0.594
S  0.333  0.667  0.073
S  0.333  0.667  0.260
S  0.667  0.333  0.740
S  0.667  0.333  0.927

Values from the calculation:
energy above the lowest structure with this stoichiometry = 207 meV per atom
space-group type = R-3m (166)
total moment = 0.000 μB per formula unit

=====

A relaxed LiMg3Ag4 crystal. Source: Alexandria, functional PBE-GGA.

abc: 14.125 4.632 4.631
angles: 90.00 109.07 90.00
Positions (direct):
Li  0.000  0.000  0.000
Li  0.500  0.500  0.000
Mg  0.000  0.500  0.500
Mg  0.249  0.000  0.249
Mg  0.251  0.500  0.751
Mg  0.500  0.000  0.500
Mg  0.749  0.500  0.249
Mg  0.751  0.000  0.751
Ag  0.122  0.000  0.622
Ag  0.122  0.500  0.122
Ag  0.378  0.000  0.878
Ag  0.378  0.500  0.378
Ag  0.622  0.000  0.122
Ag  0.622  0.500  0.622
Ag  0.878  0.000  0.378
Ag  0.878  0.500  0.878

Values from the calculation:
energy above the lowest structure with this stoichiometry = 0 meV per atom
space-group type = C2/m (12)
energy of formation from the pure elements = -236 meV/atom
total moment = 0.000 μB per formula unit

=====

A relaxed Pm5DyHo4 crystal. Source: Alexandria, functional PBE-GGA.

abc: 7.914 7.914 7.914
angles: 99.09 99.09 133.15
Positions (direct):
Pm  0.000  0.000  0.000
Pm  0.501  0.581  0.620
Pm  0.581  0.960  0.080
Pm  0.880  0.501  0.920
Pm  0.960  0.880  0.380
Dy  0.459  0.459  0.000
Ho  0.190  0.579  0.300
Ho  0.278  0.890  0.700
Ho  0.579  0.278  0.388
Ho  0.890  0.190  0.612

Values from the calculation:
energy above the lowest structure with this stoichiometry = 254 meV per atom
space-group type = I4 (79)
energy of formation from the pure elements = 290 meV/atom
total moment = 0.000 μB per formula unit

=====

| no. | V (Å³/f.u.) |
| --- | --- |
| 1 | 186 |
| 2 | 73 |
| 3 | 143 |
| 4 | 332 |